# FeNiPbF6 | Alexandria | PBE with a Hubbard U | relaxed
# * total magnetic moment: 6.0 μB/f.u.
# * energy: -44.239 eV/f.u.
data_FeNiPbF6
_chemical_formula_sum 'Fe2 Ni2 Pb2 F12'
_symmetry_space_group_name_H-M 'P -3 1 c'
_symmetry_Int_Tables_number 163
_symmetry_space_group_name_Hall '-P 3 2c'
_cell_length_a 5.4733
_cell_length_b 5.4733
_cell_length_c 10.4556
_cell_angle_alpha 90.00
_cell_angle_beta 90.00
_cell_angle_gamma 120.00
loop_
_atom_site_label
_atom_site_type_symbol
_atom_site_fract_x
_atom_site_fract_y
_atom_site_fract_z
Fe1 Fe 0.3333 0.6667 0.2500
Ni1 Ni 0.3333 0.6667 0.7500
Pb1 Pb 0.0000 0.0000 0.0000
F1 F 0.0096 0.3680 0.6445